## LaSmPu2P4 (PBE-GGA)

Data for LaSmPu2P4 after structural relaxation.

Values from the calculation:
- Space-group type: No. 10
- Total DFT energy (no corrections): -8.840 eV/atom
- Density of states at the Fermi level: 2.410 states/eV/atom

Cell lengths 4.0966, 7.0568, 7.0991 Å; angles 70.44, 90.00, 90.00 degrees
Last column: magnetic moment on the atom in μB.
Element x y z (fractional)
La1 0.5000 0.5000 0.0000  0.02
Sm1 0.0000 0.5000 0.5000  0.03
Pu1 0.0000 0.0000 0.0000  4.96
Pu2 0.5000 0.0000 0.5000  4.88
P1 0.0000 0.7684 0.7394  -0.10
P2 0.0000 0.2316 0.2606  -0.10
P3 0.5000 0.7651 0.2492  -0.10
P4 0.5000 0.2349 0.7508  -0.10